VASP calculation (GGA-PBE) on a relaxed SmPaGaO6 crystal.

a = 5.485 Å, b = 5.485 Å, c = 4.808 Å
α = 90.00°, β = 90.00°, γ = 120.00°
Sites, in units of the cell vectors:
Sm (0.000, 0.000, 0.000)
Pa (0.667, 0.333, 0.500)
Ga (0.333, 0.667, 0.000)
O (0.013, 0.374, 0.239)
O (0.013, 0.639, 0.761)
O (0.361, 0.374, 0.761)
O (0.361, 0.987, 0.239)
O (0.626, 0.639, 0.239)
O (0.626, 0.987, 0.761)

Calculated values
Uncorrected energy: -7.88 eV per atom
Space group: No. 149
Size of the total moment: 0.68 μB per cell
Formation energy from raw total energies: -2.6554 eV/atom
Fermi-level density of states: 6.71 states/eV/f.u.